Below is a relaxed structure of KSnO2F, with properties calculated at the PBE level.

The structure in CIF format:
```
data_KSnO2F
_chemical_formula_sum 'K1 Sn1 O2 F1'
_space_group_name_H-M_alt 'P 4/m m m'
_space_group_IT_number 123
_space_group_name_Hall '-P 4 2'
_cell_length_a 4.5863
_cell_length_b 4.5863
_cell_length_c 4.6131
_cell_angle_alpha 90.00
_cell_angle_beta 90.00
_cell_angle_gamma 90.00
loop_
_atom_site_label
_atom_site_type_symbol
_atom_site_fract_x
_atom_site_fract_y
_atom_site_fract_z
K1 K 0.0000 0.0000 0.0000
Sn1 Sn 0.5000 0.5000 0.5000
O1 O 0.0000 0.5000 0.0000
F1 F 0.0000 0.0000 0.5000
```

The value obtained for the density of states at the Fermi level is 2.71 states/eV/f.u. The crystal system is tetragonal. Its uncorrected formation energy is -0.25 eV per atom. The size of the total moment comes out at 2.00 μB per cell.

Below is a relaxed structure of Pu2VGe4Pt3, with properties calculated at the PBE level.

The structure in CIF format:
```
data_Pu2VGe4Pt3
_chemical_formula_sum 'Pu2 V1 Ge4 Pt3'
_space_group_name_H-M_alt 'P -4 m 2'
_space_group_IT_number 115
_space_group_name_Hall 'P -4 -2'
_cell_length_a 4.2176
_cell_length_b 4.2176
_cell_length_c 10.6267
_cell_angle_alpha 90.00
_cell_angle_beta 90.00
_cell_angle_gamma 90.00
loop_
_atom_site_label
_atom_site_type_symbol
_atom_site_fract_x
_atom_site_fract_y
_atom_site_fract_z
Pu1 Pu 0.0000 0.5000 0.2460
V1 V 0.5000 0.5000 0.0000
Ge1 Ge 0.0000 0.0000 0.5000
Ge2 Ge 0.0000 0.5000 0.8653
Ge3 Ge 0.5000 0.5000 0.5000
Pt1 Pt 0.0000 0.0000 0.0000
Pt2 Pt 0.0000 0.5000 0.6311
```

The value obtained for the density of states at the Fermi level is 27.61 states/eV/f.u. The crystal system is tetragonal. The size of the total moment comes out at 11.63 μB per cell. As for the calculated formation energy: -588.2 kJ/mol of formula units.

Below is a relaxed structure of CrInRe2, with properties calculated at the PBE level.

The structure in CIF format:
```
data_CrInRe2
_chemical_formula_sum 'Cr3 In3 Re6'
_space_group_name_H-M_alt 'R -3 m'
_space_group_IT_number 166
_space_group_name_Hall '-R 3 2"'
_cell_length_a 2.8195
_cell_length_b 2.8195
_cell_length_c 27.1910
_cell_angle_alpha 90.00
_cell_angle_beta 90.00
_cell_angle_gamma 120.00
loop_
_atom_site_label
_atom_site_type_symbol
_atom_site_fract_x
_atom_site_fract_y
_atom_site_fract_z
Cr1 Cr 0.0000 0.0000 0.0000
In1 In 0.0000 0.0000 0.5000
Re1 Re 0.0000 0.0000 0.2588
```

The value obtained for the density of states at the Fermi level is 2.84 states/eV/f.u. The crystal system is trigonal. The size of the total moment comes out at 0.00 μB per cell. As for the calculated formation energy: 156.0 kJ/mol of formula units.

Below is a relaxed structure of HfIn2OsS, with properties calculated at the PBE level.

The structure in CIF format:
```
data_HfIn2OsS
_chemical_formula_sum 'Hf1 In2 Os1 S1'
_space_group_name_H-M_alt 'P 4/m m m'
_space_group_IT_number 123
_space_group_name_Hall '-P 4 2'
_cell_length_a 5.1339
_cell_length_b 5.1339
_cell_length_c 4.9555
_cell_angle_alpha 90.00
_cell_angle_beta 90.00
_cell_angle_gamma 90.00
loop_
_atom_site_label
_atom_site_type_symbol
_atom_site_fract_x
_atom_site_fract_y
_atom_site_fract_z
Hf1 Hf 0.0000 0.0000 0.0000
In1 In 0.0000 0.5000 0.5000
Os1 Os 0.0000 0.0000 0.5000
S1 S 0.5000 0.5000 0.0000
```

The value obtained for the density of states at the Fermi level is 2.08 states/eV/f.u. The crystal system is tetragonal. Its uncorrected formation energy is 0.28 eV per atom. The size of the total moment comes out at 0.00 μB per cell.

Below is a relaxed structure of Pa2TaFeN5, with properties calculated at the PBE level.

The structure in CIF format:
```
data_Pa2TaFeN5
_chemical_formula_sum 'Pa8 Ta4 Fe4 N20'
_space_group_name_H-M_alt 'C m c 21'
_space_group_IT_number 36
_space_group_name_Hall 'C 2c -2'
_cell_length_a 3.2407
_cell_length_b 12.8949
_cell_length_c 10.1641
_cell_angle_alpha 90.00
_cell_angle_beta 90.00
_cell_angle_gamma 90.00
loop_
_atom_site_label
_atom_site_type_symbol
_atom_site_fract_x
_atom_site_fract_y
_atom_site_fract_z
Pa1 Pa 0.0000 0.1043 0.0000
Pa2 Pa 0.0000 0.1429 0.6287
Ta1 Ta 0.0000 0.1962 0.3293
Fe1 Fe 0.0000 0.4712 0.7740
N1 N 0.0000 0.0480 0.3858
N2 N 0.0000 0.2825 0.9769
N3 N 0.0000 0.3231 0.6898
N4 N 0.0000 0.3664 0.3162
N5 N 0.0000 0.4872 0.0939
```

The value obtained for the density of states at the Fermi level is 4.06 states/eV/f.u. The crystal system is orthorhombic. Its uncorrected formation energy is -1.18 eV per atom. The size of the total moment comes out at 0.00 μB per cell.

Below is a relaxed structure of Ce3InPb, with properties calculated at the PBE level.

The structure in CIF format:
```
data_Ce3InPb
_chemical_formula_sum 'Ce6 In2 Pb2'
_space_group_name_H-M_alt 'P 1 21/m 1'
_space_group_IT_number 11
_space_group_name_Hall '-P 2yb'
_cell_length_a 7.3989
_cell_length_b 4.0069
_cell_length_c 9.4980
_cell_angle_alpha 90.00
_cell_angle_beta 101.10
_cell_angle_gamma 90.00
loop_
_atom_site_label
_atom_site_type_symbol
_atom_site_fract_x
_atom_site_fract_y
_atom_site_fract_z
Ce1 Ce 0.0446 0.2500 0.1711
Ce2 Ce 0.1137 0.7500 0.4749
Ce3 Ce 0.2458 0.7500 0.0727
In1 In 0.4434 0.2500 0.3685
Pb1 Pb 0.2968 0.2500 0.7758
```

The value obtained for the density of states at the Fermi level is 11.36 states/eV/f.u. The crystal system is monoclinic. The size of the total moment comes out at 2.71 μB per cell. As for the calculated formation energy: -67.4 kJ/mol of formula units.

Repeat the fourth record exactly.
Below is a relaxed structure of HfIn2OsS, with properties calculated at the PBE level.

The structure in CIF format:
```
data_HfIn2OsS
_chemical_formula_sum 'Hf1 In2 Os1 S1'
_space_group_name_H-M_alt 'P 4/m m m'
_space_group_IT_number 123
_space_group_name_Hall '-P 4 2'
_cell_length_a 5.1339
_cell_length_b 5.1339
_cell_length_c 4.9555
_cell_angle_alpha 90.00
_cell_angle_beta 90.00
_cell_angle_gamma 90.00
loop_
_atom_site_label
_atom_site_type_symbol
_atom_site_fract_x
_atom_site_fract_y
_atom_site_fract_z
Hf1 Hf 0.0000 0.0000 0.0000
In1 In 0.0000 0.5000 0.5000
Os1 Os 0.0000 0.0000 0.5000
S1 S 0.5000 0.5000 0.0000
```

The value obtained for the density of states at the Fermi level is 2.08 states/eV/f.u. The crystal system is tetragonal. Its uncorrected formation energy is 0.28 eV per atom. The size of the total moment comes out at 0.00 μB per cell.

- size of the total moment of number 1 (KSnO2F)?
  2.00 μB per cell

- What is the size of the total moment in the first record?
  2.00 μB per cell